TaMoH3 | PBE-GGA | relaxed

Computed properties:
Its space-group type is Pm-3m. The calculation puts the distance to the lowest polymorph of the same formula at 357 meV/atom.

```
TaMoH3
1.0
3.502 0.000 0.000
0.000 3.502 0.000
0.000 0.000 3.502
H Ta Mo
3 1 1
Direct
0.500 0.000 0.000
0.000 0.500 0.000
0.000 0.000 0.500
0.500 0.500 0.500
0.000 0.000 0.000
```